! Pr3ScS6 | the Alexandria database | PBE-GGA | relaxed; values from VASP
&SYSTEM
  ibrav = 0, nat = 20, ntyp = 3
/
ATOMIC_SPECIES
Pr 140.91 Pr.upf
Sc 44.96 Sc.upf
S 32.06 S.upf
CELL_PARAMETERS angstrom
5.867 3.387 4.561
-5.867 3.387 4.561
0.000 -6.774 4.561
ATOMIC_POSITIONS angstrom
Pr -2.973 -2.892 6.391
Pr -3.991 1.129 7.293
Pr 1.018 -4.021 7.293
Pr -1.018 4.021 6.391
Pr 3.991 -1.129 6.391
Pr 2.973 2.892 7.293
Sc 0.000 0.000 0.000
Sc 0.000 0.000 6.842
S -5.122 -1.469 7.567
S -1.288 -5.170 6.116
S -2.224 -0.240 5.476
S -3.833 3.701 6.116
S -0.904 -2.046 8.207
S 1.320 -1.806 5.476
S -1.320 1.806 8.207
S 0.904 2.046 5.476
S 3.833 -3.701 7.567
S 2.224 0.240 8.208
S 1.288 5.170 7.567
S 5.122 1.469 6.116
! uncorrected formation energy	-2.006	eV/atom
! space-group type	R-3
! Fermi-level density of states	0.00	states/eV/atom

***

! Pr3ScS | the Alexandria database | PBE-GGA | relaxed; values from VASP
&SYSTEM
  ibrav = 0, nat = 5, ntyp = 3
/
ATOMIC_SPECIES
Pr 140.91 Pr.upf
Sc 44.96 Sc.upf
S 32.06 S.upf
CELL_PARAMETERS angstrom
5.492 0.000 0.000
0.000 5.492 0.000
0.000 0.000 5.492
ATOMIC_POSITIONS angstrom
Pr 0.000 0.000 2.746
Pr 0.000 2.746 0.000
Pr 2.746 0.000 0.000
Sc 2.746 2.746 2.746
S 0.000 0.000 0.000
! uncorrected formation energy	-0.597	eV/atom
! space-group type	Pm-3m
! Fermi-level density of states	1.27	states/eV/atom

***

! PrSc3S6 | the Alexandria database | PBE-GGA | relaxed; values from VASP
&SYSTEM
  ibrav = 0, nat = 20, ntyp = 3
/
ATOMIC_SPECIES
Pr 140.91 Pr.upf
Sc 44.96 Sc.upf
S 32.06 S.upf
CELL_PARAMETERS angstrom
10.700 0.000 0.000
0.000 3.827 0.000
-3.625 0.000 10.301
ATOMIC_POSITIONS angstrom
Pr -0.156 0.957 2.065
Pr 7.231 2.870 8.236
Sc -0.420 0.957 6.079
Sc 3.446 2.870 0.008
Sc 3.577 0.957 3.461
Sc 3.497 2.870 6.840
Sc 3.629 0.957 10.293
Sc 7.494 2.870 4.222
S -0.626 2.870 4.260
S -2.145 0.957 9.945
S -0.527 2.870 7.708
S 2.117 2.870 2.397
S 2.165 0.957 5.718
S 4.699 0.957 1.155
S 2.376 2.870 9.146
S 4.909 2.870 4.583
S 4.957 0.957 7.904
S 7.602 0.957 2.593
S 9.219 2.870 0.356
S 7.700 0.957 6.041
! uncorrected formation energy	-1.938	eV/atom
! space-group type	P2_1/m

***

! PrSc3S6 | the Alexandria database | PBE-GGA | relaxed; values from VASP
&SYSTEM
  ibrav = 0, nat = 10, ntyp = 3
/
ATOMIC_SPECIES
Pr 140.91 Pr.upf
Sc 44.96 Sc.upf
S 32.06 S.upf
CELL_PARAMETERS angstrom
4.570 -6.495 0.000
4.570 6.495 0.000
0.000 0.000 4.037
ATOMIC_POSITIONS angstrom
Pr 0.000 0.000 0.000
Sc 2.285 3.247 2.019
Sc 2.285 -3.247 2.019
Sc 4.570 0.000 0.000
S 4.570 4.433 2.019
S 2.752 1.648 0.000
S 2.752 -1.648 0.000
S 6.387 1.648 0.000
S 6.387 -1.648 0.000
S 4.570 -4.433 2.019
! uncorrected formation energy	-1.697	eV/atom
! space-group type	Cmmm
! Fermi-level density of states	0.07	states/eV/atom

***

! Pr3ScS4 | the Alexandria database | PBE-GGA | relaxed; values from VASP
&SYSTEM
  ibrav = 0, nat = 8, ntyp = 3
/
ATOMIC_SPECIES
Pr 140.91 Pr.upf
Sc 44.96 Sc.upf
S 32.06 S.upf
CELL_PARAMETERS angstrom
4.068 -5.679 0.000
4.068 5.679 0.000
0.000 0.000 3.959
ATOMIC_POSITIONS angstrom
Pr 0.000 0.000 0.000
Pr 2.034 2.839 1.980
Pr 2.034 -2.839 1.980
Sc 4.068 0.000 0.000
S 4.068 2.700 0.000
S 2.226 0.000 1.980
S 5.910 0.000 1.980
S 4.068 -2.700 0.000
! uncorrected formation energy	-1.939	eV/atom
! space-group type	Cmmm
! Fermi-level density of states	0.58	states/eV/atom

***

! Pr4ScS5 | the Alexandria database | PBE-GGA | relaxed; values from VASP
&SYSTEM
  ibrav = 0, nat = 10, ntyp = 3
/
ATOMIC_SPECIES
Pr 140.91 Pr.upf
Sc 44.96 Sc.upf
S 32.06 S.upf
CELL_PARAMETERS angstrom
-2.023 2.023 14.250
2.023 -2.023 14.250
2.023 2.023 -14.250
ATOMIC_POSITIONS angstrom
Pr 0.000 0.000 2.835
Pr 0.000 0.000 8.683
Pr 0.000 0.000 19.816
Pr 0.000 0.000 25.664
Sc 0.000 0.000 14.250
S 0.000 0.000 0.000
S 0.000 0.000 5.752
S 0.000 0.000 11.620
S 0.000 0.000 16.880
S 0.000 0.000 22.748
! uncorrected formation energy	-1.936	eV/atom
! space-group type	I4/mmm
! Fermi-level density of states	0.46	states/eV/atom

***

no.,E_tot (eV per cell)
1,-131.0
2,-27.8
3,-135.8
4,-65.5
5,-52.7
6,-65.4